Record 1
A plane-wave DFT calculation with PBE was carried out for a relaxed LaTm3Te6 crystal.

Computed properties:
The calculation puts the calculated total energy at -5.136 eV/atom. As for the space-group type: No. 11.

abc: 12.465 4.392 12.780
angles: 90.00 109.38 90.00
Fractional positions:
La  0.049  0.250  0.198
La  0.951  0.750  0.802
Tm  0.156  0.250  0.584
Tm  0.319  0.750  0.999
Tm  0.439  0.250  0.336
Tm  0.561  0.750  0.664
Tm  0.681  0.250  0.001
Tm  0.844  0.750  0.416
Te  0.085  0.750  0.407
Te  0.120  0.250  0.967
Te  0.198  0.750  0.750
Te  0.264  0.750  0.226
Te  0.390  0.250  0.558
Te  0.482  0.250  0.116
Te  0.518  0.750  0.884
Te  0.610  0.750  0.442
Te  0.736  0.250  0.774
Te  0.802  0.250  0.250
Te  0.880  0.750  0.033
Te  0.915  0.250  0.593

***

Record 2
A plane-wave DFT calculation with PBE was carried out for a relaxed Sm3HfSb4 crystal.

Computed properties:
The calculation puts the calculated total energy at -6.045 eV/atom. As for the space-group type: No. 13.

abc: 7.576 8.765 7.551
angles: 90.00 109.58 90.00
Fractional positions:
Sm  0.000  0.125  0.250
Sm  0.000  0.374  0.750
Sm  0.000  0.626  0.250
Sm  0.000  0.875  0.750
Sm  0.500  0.374  0.250
Sm  0.500  0.626  0.750
Hf  0.500  0.127  0.750
Hf  0.500  0.873  0.250
Sb  0.258  0.366  0.509
Sb  0.258  0.634  0.009
Sb  0.268  0.116  0.000
Sb  0.268  0.884  0.500
Sb  0.732  0.116  0.500
Sb  0.732  0.884  0.000
Sb  0.742  0.366  0.991
Sb  0.742  0.634  0.491

***

Record 3
A plane-wave DFT calculation with PBE was carried out for a relaxed Pr5In2Ga2 crystal.

Computed properties:
As for the space-group type: No. 64. As for the formation energy from the elements: -3.9 eV/f.u.

abc: 9.297 9.297 7.968
angles: 90.00 90.00 52.03
Fractional positions:
Pr  0.000  0.000  0.000
Pr  0.061  0.675  0.682
Pr  0.175  0.561  0.182
Pr  0.325  0.939  0.682
Pr  0.439  0.825  0.182
Pr  0.500  0.500  0.500
Pr  0.561  0.175  0.818
Pr  0.675  0.061  0.318
Pr  0.825  0.439  0.818
Pr  0.939  0.325  0.318
In  0.222  0.222  0.000
In  0.278  0.278  0.500
In  0.722  0.722  0.500
In  0.778  0.778  0.000
Ga  0.112  0.888  0.386
Ga  0.388  0.612  0.886
Ga  0.612  0.388  0.114
Ga  0.888  0.112  0.614

***

DOS(E_F) (states/eV/f.u.)
0.00 1.23 8.80